1.
A geometry-optimized In3Pb2 structure. Source: Alexandria, functional PBE.

Cell and atoms, written as POSCAR:
```
In3Pb2
1.0
0.0000 14.8318 1.6238
6.1257 0.0000 1.6238
6.1257 14.8318 0.0000
In Pb
6 4
Direct
0.0000 0.0000 0.0000
0.2500 0.2500 0.2500
0.4021 0.5844 0.4085
0.5844 0.4021 0.6049
0.6451 0.8415 0.6656
0.8415 0.6451 0.8479
0.0295 0.4263 0.0780
0.1720 0.7838 0.2205
0.4263 0.0295 0.4662
0.7838 0.1720 0.8237
```

Values from the calculation:
Its energy of formation is 3.76 kJ per mole of atoms. The density of states at the Fermi level is 6.2 states/eV per cell. For the relative energy among the computed polymorphs, the calculation gives 0.12 eV per formula unit. For the total energy, the calculation gives -3.09 eV per atom. As for the space group: Fdd2 (43).

---

2.
A geometry-optimized PmHoTaO6 structure. Source: Alexandria, functional PBE.

Cell and atoms, written as POSCAR:
```
PmHoTaO6
1.0
5.0996 0.0000 0.0000
0.0000 5.0996 0.0000
0.0000 0.0000 10.2246
Pm Ho Ta O
2 2 2 12
Direct
0.0000 0.0000 0.0000
0.5000 0.5000 0.5000
0.0000 0.0000 0.3372
0.5000 0.5000 0.8372
0.0000 0.0000 0.6667
0.5000 0.5000 0.1667
0.1806 0.1806 0.5184
0.1897 0.1897 0.8109
0.2205 0.2205 0.1758
0.2795 0.7205 0.6758
0.3103 0.6897 0.3109
0.3194 0.6806 0.0184
0.6806 0.3194 0.0184
0.6897 0.3103 0.3109
0.7205 0.2795 0.6758
0.7795 0.7795 0.1758
0.8103 0.8103 0.8109
0.8194 0.8194 0.5184
```

Values from the calculation:
The density of states at the Fermi level is 10.2 states/eV per cell. For the total energy, the calculation gives -8.64 eV per atom. As for the space group: P4_2nm (102). The uncorrected formation energy is -2.986 eV per atom.

---

3.
A geometry-optimized ScTePb2 structure. Source: Alexandria, functional PBE.

Cell and atoms, written as POSCAR:
```
ScTePb2
1.0
4.4201 0.0000 0.0000
0.0000 4.4720 0.0000
0.0000 0.0000 5.9374
Sc Te Pb
1 1 2
Direct
0.0000 0.0000 0.0000
0.0000 0.0000 0.5000
0.5000 0.5000 0.2437
0.5000 0.5000 0.7563
```

Values from the calculation:
The density of states at the Fermi level is 2.1 states/eV per cell. For the total energy, the calculation gives -4.42 eV per atom. As for the space group: Pmmm (47). The uncorrected formation energy is -0.201 eV per atom.

---

4.
A geometry-optimized SnSeCl2 structure. Source: Alexandria, functional PBE.

Cell and atoms, written as POSCAR:
```
SnSeCl2
1.0
7.3077 0.0000 0.0000
0.0000 7.3077 0.0000
0.0000 0.0000 7.3077
Sn Se Cl
4 4 8
Direct
0.0000 0.0000 0.0000
0.0000 0.5000 0.5000
0.5000 0.0000 0.5000
0.5000 0.5000 0.0000
0.0000 0.0000 0.5000
0.0000 0.5000 0.0000
0.5000 0.0000 0.0000
0.5000 0.5000 0.5000
0.2500 0.2500 0.2500
0.2500 0.2500 0.7500
0.2500 0.7500 0.2500
0.2500 0.7500 0.7500
0.7500 0.2500 0.2500
0.7500 0.2500 0.7500
0.7500 0.7500 0.2500
0.7500 0.7500 0.7500
```

Values from the calculation:
The density of states at the Fermi level is 9.0 states/eV per cell. For the relative energy among the computed polymorphs, the calculation gives 0.98 eV per formula unit. For the total energy, the calculation gives -2.83 eV per atom. As for the space group: Fm-3m (225). The uncorrected formation energy is -0.032 eV per atom.

---

5.
A geometry-optimized Ba2NaSn2 structure. Source: Alexandria, functional PBE.

Cell and atoms, written as POSCAR:
```
Ba2NaSn2
1.0
6.4225 -2.6554 0.0000
6.4225 2.6554 0.0000
-5.9702 0.0000 11.2301
Ba Na Sn
4 2 4
Direct
0.0098 0.0098 0.3275
0.1846 0.1846 0.1027
0.8154 0.8154 0.8973
0.9902 0.9902 0.6725
0.2790 0.2790 0.6331
0.7210 0.7210 0.3669
0.3746 0.3746 0.4259
0.4810 0.4810 0.1075
0.5190 0.5190 0.8925
0.6254 0.6254 0.5741
```

Values from the calculation:
Its energy of formation is -49.61 kJ per mole of atoms. The density of states at the Fermi level is 9.3 states/eV per cell. For the relative energy among the computed polymorphs, the calculation gives 0.00 eV per formula unit. For the total energy, the calculation gives -3.15 eV per atom. As for the space group: C2/m (12).

---

6.
A geometry-optimized SrLa2Te structure. Source: Alexandria, functional PBE.

Cell and atoms, written as POSCAR:
```
SrLa2Te
1.0
4.9591 0.0000 0.0000
0.0000 4.9886 0.0000
0.0000 0.0000 5.3006
Sr La Te
1 2 1
Direct
0.0000 0.0000 0.0000
0.0000 0.5000 0.5000
0.5000 0.0000 0.5000
0.5000 0.5000 0.0000
```

Values from the calculation:
The density of states at the Fermi level is 5.9 states/eV per cell. For the total energy, the calculation gives -4.15 eV per atom. As for the space group: Pmmm (47). The uncorrected formation energy is -0.479 eV per atom.

---

7.
A geometry-optimized CaTmCdPb structure. Source: Alexandria, functional PBE.

Cell and atoms, written as POSCAR:
```
CaTmCdPb
1.0
4.0415 0.0000 0.0000
0.0000 5.1692 0.0000
0.0000 0.0000 5.2681
Ca Tm Cd Pb
1 1 1 1
Direct
0.0000 0.0000 0.0000
0.0000 0.5000 0.5000
0.5000 0.5000 0.0000
0.5000 0.0000 0.5000
```

Values from the calculation:
Its energy of formation is -37.78 kJ per mole of atoms. The density of states at the Fermi level is 2.4 states/eV per cell. For the relative energy among the computed polymorphs, the calculation gives 0.00 eV per formula unit. For the total energy, the calculation gives -3.17 eV per atom. As for the space group: Pmmm (47).

---

8.
A geometry-optimized Nd2SmDy2Y structure. Source: Alexandria, functional PBE.

Cell and atoms, written as POSCAR:
```
Nd2SmDy2Y
1.0
6.6437 0.0000 0.0000
0.0000 18.1043 0.0000
0.0000 0.0000 3.4088
Nd Sm Dy Y
4 2 4 2
Direct
0.2275 0.1861 0.0000
0.2725 0.6861 0.5000
0.7275 0.3139 0.5000
0.7725 0.8139 0.0000
0.0000 0.5000 0.0000
0.5000 0.0000 0.5000
0.2255 0.3536 0.5000
0.2745 0.8536 0.0000
0.7255 0.1464 0.0000
0.7745 0.6464 0.5000
0.0000 0.0000 0.0000
0.5000 0.5000 0.5000
```

Values from the calculation:
Its energy of formation is 24.88 kJ per mole of atoms. The density of states at the Fermi level is 20.1 states/eV per cell. For the total energy, the calculation gives -4.73 eV per atom. As for the space group: Pnnm (58).

---

9.
A geometry-optimized MgCuP structure. Source: Alexandria, functional PBE.

Cell and atoms, written as POSCAR:
```
MgCuP
1.0
3.8741 0.0000 0.0000
-1.9370 3.3551 0.0000
0.0000 0.0000 3.7162
Mg Cu P
1 1 1
Direct
0.0000 0.0000 0.0000
0.3333 0.6667 0.5000
0.6667 0.3333 0.5000
```

Values from the calculation:
Its energy of formation is -32.90 kJ per mole of atoms. The density of states at the Fermi level is 1.3 states/eV per cell. For the total energy, the calculation gives -4.04 eV per atom. As for the space group: P-6m2 (187).

---

10.
A geometry-optimized KFe2BiBr structure. Source: Alexandria, functional PBE.

Cell and atoms, written as POSCAR:
```
KFe2BiBr
1.0
5.4366 0.0000 0.0000
0.0000 5.4366 0.0000
0.0000 0.0000 6.3236
K Fe Bi Br
1 2 1 1
Direct
0.0000 0.0000 0.0000
0.0000 0.5000 0.0000
0.5000 0.0000 0.0000
0.0000 0.0000 0.5000
0.5000 0.5000 0.5000
```

Values from the calculation:
The density of states at the Fermi level is 7.5 states/eV per cell. For the total energy, the calculation gives -2.79 eV per atom. As for the space group: P4/mmm (123). The uncorrected formation energy is 1.926 eV per atom.

---

11.
A geometry-optimized Mg2TlCu2 structure. Source: Alexandria, functional PBE.

Cell and atoms, written as POSCAR:
```
Mg2TlCu2
1.0
3.4781 0.0000 0.0000
0.0000 3.4781 0.0000
0.0000 0.0000 16.2603
Mg Tl Cu
4 2 4
Direct
0.0000 0.0000 0.1201
0.0000 0.0000 0.8799
0.5000 0.5000 0.3799
0.5000 0.5000 0.6201
0.0000 0.0000 0.5000
0.5000 0.5000 0.0000
0.0000 0.5000 0.2500
0.0000 0.5000 0.7500
0.5000 0.0000 0.2500
0.5000 0.0000 0.7500
```

Values from the calculation:
Its energy of formation is 4.74 kJ per mole of atoms. The density of states at the Fermi level is 3.6 states/eV per cell. For the relative energy among the computed polymorphs, the calculation gives 0.36 eV per formula unit. For the total energy, the calculation gives -2.70 eV per atom. As for the space group: I4/mmm (139).

---

12.
A geometry-optimized Ho8ZnCd2 structure. Source: Alexandria, functional PBE.

Cell and atoms, written as POSCAR:
```
Ho8ZnCd2
1.0
8.9307 -2.6102 0.0000
8.9307 2.6102 0.0000
-1.9780 0.0000 6.6020
Ho Zn Cd
8 1 2
Direct
0.0210 0.0210 0.2744
0.1975 0.1975 0.7976
0.3397 0.3397 0.5332
0.4077 0.4077 0.0477
0.5923 0.5923 0.9523
0.6603 0.6603 0.4668
0.8025 0.8025 0.2024
0.9790 0.9790 0.7256
0.5000 0.5000 0.5000
0.1848 0.1848 0.2190
0.8152 0.8152 0.7810
```

Values from the calculation:
Its energy of formation is -12.11 kJ per mole of atoms. The density of states at the Fermi level is 10.4 states/eV per cell. For the total energy, the calculation gives -3.74 eV per atom. As for the space group: C2/m (12).

---

> What is the formula in the tenth record?

KFe2BiBr

---

Repeat the twelfth record exactly.
A geometry-optimized Ho8ZnCd2 structure. Source: Alexandria, functional PBE.

Cell and atoms, written as POSCAR:
```
Ho8ZnCd2
1.0
8.9307 -2.6102 0.0000
8.9307 2.6102 0.0000
-1.9780 0.0000 6.6020
Ho Zn Cd
8 1 2
Direct
0.0210 0.0210 0.2744
0.1975 0.1975 0.7976
0.3397 0.3397 0.5332
0.4077 0.4077 0.0477
0.5923 0.5923 0.9523
0.6603 0.6603 0.4668
0.8025 0.8025 0.2024
0.9790 0.9790 0.7256
0.5000 0.5000 0.5000
0.1848 0.1848 0.2190
0.8152 0.8152 0.7810
```

Values from the calculation:
Its energy of formation is -12.11 kJ per mole of atoms. The density of states at the Fermi level is 10.4 states/eV per cell. For the total energy, the calculation gives -3.74 eV per atom. As for the space group: C2/m (12).